# 1
DFT (PBE) results for an optimized crystal structure of NiBC3.

## Properties
ΔH_f (0 K): 0.233 eV/atom
Calculated total energy: -39.0 eV for the cell shown

The structure in CIF format:
```
data_NiBC3
_cell_length_a 3.815
_cell_length_b 2.589
_cell_length_c 4.544
_cell_angle_alpha 90.00
_cell_angle_beta 108.31
_cell_angle_gamma 90.00
_space_group_name_H-M_alt 'P 1 m 1'
_space_group_IT_number 6
loop_
_space_group_symop_operation_xyz
'x,y,z'
'x,-y,z'
loop_
_atom_site_label
_atom_site_type_symbol
_atom_site_fract_x
_atom_site_fract_y
_atom_site_fract_z
Ni1 Ni 0.000 0.000 0.000
B1 B 0.514 0.500 0.039
C1 C 0.546 0.000 0.225
C2 C 0.546 0.500 0.704
C3 C 0.556 0.000 0.546
```

# 2
DFT (PBE) results for an optimized crystal structure of Nd2Tl3CrS6.

## Properties
Calculated total energy: -128.3 eV for the cell shown

The structure in CIF format:
```
data_Nd2Tl3CrS6
_cell_length_a 6.934
_cell_length_b 11.964
_cell_length_c 7.803
_cell_angle_alpha 90.00
_cell_angle_beta 107.06
_cell_angle_gamma 90.00
_space_group_name_H-M_alt 'C 1 2/m 1'
_space_group_IT_number 12
loop_
_space_group_symop_operation_xyz
'x,y,z'
'-x,-y,-z'
'-x,y,-z'
'x,-y,z'
'x+1/2,y+1/2,z'
'-x+1/2,-y+1/2,-z'
'-x+1/2,y+1/2,-z'
'x+1/2,-y+1/2,z'
loop_
_atom_site_label
_atom_site_type_symbol
_atom_site_fract_x
_atom_site_fract_y
_atom_site_fract_z
Nd1 Nd 0.000 0.166 0.000
Tl1 Tl 0.000 0.000 0.500
Tl2 Tl 0.000 0.327 0.500
Cr1 Cr 0.000 0.500 0.000
S1 S 0.212 0.352 0.191
S2 S 0.231 0.500 0.798
```

# 3
DFT (PBE) results for an optimized crystal structure of YScTl2.

## Properties
ΔH_f (0 K): 0.222 eV/atom
Calculated total energy: -33.3 eV for the cell shown

The structure in CIF format:
```
data_YScTl2
_cell_length_a 3.420
_cell_length_b 5.827
_cell_length_c 12.414
_cell_angle_alpha 90.00
_cell_angle_beta 90.00
_cell_angle_gamma 90.00
_space_group_name_H-M_alt 'I m m m'
_space_group_IT_number 71
_space_group_name_Hall '-I 2 2'
loop_
_atom_site_label
_atom_site_type_symbol
_atom_site_fract_x
_atom_site_fract_y
_atom_site_fract_z
Y1 Y 0.000 0.000 0.000
Sc1 Sc 0.000 0.000 0.500
Tl1 Tl 0.000 0.000 0.258
```

# 4
DFT (PBE) results for an optimized crystal structure of Ce2PaPtN5.

## Properties
Calculated total energy: -312.2 eV for the cell shown

The structure in CIF format:
```
data_Ce2PaPtN5
_cell_length_a 3.525
_cell_length_b 13.341
_cell_length_c 10.797
_cell_angle_alpha 90.00
_cell_angle_beta 90.00
_cell_angle_gamma 90.00
_space_group_name_H-M_alt 'C m c 21'
_space_group_IT_number 36
loop_
_space_group_symop_operation_xyz
'x,y,z'
'-x,-y,z+1/2'
'-x,y,z'
'x,-y,z+1/2'
'x+1/2,y+1/2,z'
'-x+1/2,-y+1/2,z+1/2'
'-x+1/2,y+1/2,z'
'x+1/2,-y+1/2,z+1/2'
loop_
_atom_site_label
_atom_site_type_symbol
_atom_site_fract_x
_atom_site_fract_y
_atom_site_fract_z
Ce1 Ce 0.000 0.100 0.000
Ce2 Ce 0.000 0.138 0.612
Pa1 Pa 0.000 0.204 0.322
Pt1 Pt 0.000 0.479 0.758
N1 N 0.000 0.049 0.390
N2 N 0.000 0.274 0.966
N3 N 0.000 0.326 0.683
N4 N 0.000 0.368 0.299
N5 N 0.000 0.482 0.077
```

# 5
DFT (PBE) results for an optimized crystal structure of BaMg2AgH.

## Properties
Calculated total energy: -49.9 eV for the cell shown

The structure in CIF format:
```
data_BaMg2AgH
_cell_length_a 4.273
_cell_length_b 13.070
_cell_length_c 8.265
_cell_angle_alpha 90.00
_cell_angle_beta 90.00
_cell_angle_gamma 90.00
_space_group_name_H-M_alt 'C m c m'
_space_group_IT_number 63
_space_group_name_Hall '-C 2c 2'
loop_
_atom_site_label
_atom_site_type_symbol
_atom_site_fract_x
_atom_site_fract_y
_atom_site_fract_z
Ba1 Ba 0.000 0.041 0.250
Mg1 Mg 0.000 0.331 0.059
Ag1 Ag 0.000 0.235 0.750
H1 H 0.000 0.500 0.000
```

# 6
DFT (PBE) results for an optimized crystal structure of Sn2Bi2S7.

## Properties
Calculated total energy: -91.1 eV for the cell shown

The structure in CIF format:
```
data_Sn2Bi2S7
_cell_length_a 3.801
_cell_length_b 14.588
_cell_length_c 8.852
_cell_angle_alpha 90.00
_cell_angle_beta 90.00
_cell_angle_gamma 90.00
_space_group_name_H-M_alt 'I m m 2'
_space_group_IT_number 44
loop_
_space_group_symop_operation_xyz
'x,y,z'
'-x,-y,z'
'-x,y,z'
'x,-y,z'
'x+1/2,y+1/2,z+1/2'
'-x+1/2,-y+1/2,z+1/2'
'-x+1/2,y+1/2,z+1/2'
'x+1/2,-y+1/2,z+1/2'
loop_
_atom_site_label
_atom_site_type_symbol
_atom_site_fract_x
_atom_site_fract_y
_atom_site_fract_z
Sn1 Sn 0.000 0.247 0.000
Bi1 Bi 0.000 0.000 0.785
Bi2 Bi 0.000 0.500 0.793
S1 S 0.000 0.000 0.093
S2 S 0.000 0.121 0.498
S3 S 0.000 0.309 0.704
S4 S 0.000 0.360 0.338
```

# 7
DFT (PBE) results for an optimized crystal structure of Ba2MnAs.

## Properties
ΔH_f (0 K): 0.040 eV/atom
Calculated total energy: -17.5 eV for the cell shown

The structure in CIF format:
```
data_Ba2MnAs
_cell_length_a 4.664
_cell_length_b 4.664
_cell_length_c 6.854
_cell_angle_alpha 90.00
_cell_angle_beta 90.00
_cell_angle_gamma 90.00
_space_group_name_H-M_alt 'P 4 m m'
_space_group_IT_number 99
loop_
_space_group_symop_operation_xyz
'x,y,z'
'-y,x,z'
'-x,-y,z'
'y,-x,z'
'-x,y,z'
'y,x,z'
'x,-y,z'
'-y,-x,z'
loop_
_atom_site_label
_atom_site_type_symbol
_atom_site_fract_x
_atom_site_fract_y
_atom_site_fract_z
Ba1 Ba 0.000 0.000 0.000
Ba2 Ba 0.500 0.500 0.410
Mn1 Mn 0.000 0.000 0.540
As1 As 0.500 0.500 0.883
```

# 8
DFT (PBE) results for an optimized crystal structure of Na2WSe5.

## Properties
Calculated total energy: -73.3 eV for the cell shown

The structure in CIF format:
```
data_Na2WSe5
_cell_length_a 5.640
_cell_length_b 7.906
_cell_length_c 11.912
_cell_angle_alpha 90.00
_cell_angle_beta 90.00
_cell_angle_gamma 90.00
_space_group_name_H-M_alt 'I m m 2'
_space_group_IT_number 44
loop_
_space_group_symop_operation_xyz
'x,y,z'
'-x,-y,z'
'-x,y,z'
'x,-y,z'
'x+1/2,y+1/2,z+1/2'
'-x+1/2,-y+1/2,z+1/2'
'-x+1/2,y+1/2,z+1/2'
'x+1/2,-y+1/2,z+1/2'
loop_
_atom_site_label
_atom_site_type_symbol
_atom_site_fract_x
_atom_site_fract_y
_atom_site_fract_z
Na1 Na 0.000 0.000 0.000
Na2 Na 0.000 0.000 0.473
W1 W 0.000 0.500 0.263
Se1 Se 0.000 0.500 0.068
Se2 Se 0.237 0.230 0.829
```